LiBi2TeO6: relaxed, PBE.

The crystal system is trigonal. The calculation puts the total energy at -5.4662 eV per atom.

The space group is R3 (No. 146, hexagonal axes) and the conventional cell measures 5.8699, 5.8699 and 14.3724 Å, with angles of 90.00, 90.00 and 120.00 degrees. The inequivalent atoms are Li at (0.0000, 0.0000, 0.0000), Bi at (0.0000, 0.0000, 0.2697), Bi at (0.0000, 0.0000, 0.7758), Te at (0.0000, 0.0000, 0.4857), O at (0.0806, 0.3571, 0.5525) and O at (0.0981, 0.7191, 0.0595).